A:
Compound: TaRe2HIr
Source: Alexandria via LeMat-Bulk
Functional: PBE
Structure: relaxed

Computed properties:
- DOS(E_F): 3.157 states/eV/f.u.
- Size of the total moment: 0.000 Bohr magnetons per cell
- Crystal system: tetragonal

```
TaRe2HIr
1.0
-1.275 -3.004 -2.302
3.755 -1.306 -0.376
-0.473 -2.300 3.263
Re Ir H Ta
2 1 1 1
direct
0.000 0.500 0.000
0.500 0.000 0.000
0.000 0.000 0.500
0.000 0.000 0.000
0.500 0.500 0.500
```

=====

B:
Compound: TaRe2HIr
Source: Alexandria via LeMat-Bulk
Functional: PBE
Structure: relaxed

Computed properties:
- DOS(E_F): 3.092 states/eV/f.u.
- Size of the total moment: 0.000 Bohr magnetons per cell
- Crystal system: tetragonal

```
TaRe2HIr
1.0
-3.366 1.924 -0.826
-1.729 -1.673 3.150
1.213 3.118 2.322
Re Ir H Ta
2 1 1 1
direct
0.000 0.500 0.000
0.500 0.000 0.000
0.500 0.500 0.500
0.000 0.000 0.000
0.000 0.000 0.500
```

=====

Computed energies relative to the best structure, in eV/atom: A 0.023; B 0.000

=====

A:
Compound: TaReHIr2
Source: Alexandria via LeMat-Bulk
Functional: PBE
Structure: relaxed

Computed properties:
- DOS(E_F): 3.609 states/eV/f.u.
- Size of the total moment: 0.000 Bohr magnetons per cell
- Crystal system: tetragonal

```
TaReHIr2
1.0
3.921 0.000 0.000
0.000 3.921 0.000
0.000 0.000 4.121
Re Ir H Ta
1 2 1 1
direct
0.500 0.500 0.500
0.000 0.500 0.000
0.500 0.000 0.000
0.000 0.000 0.000
0.000 0.000 0.500
```

=====

B:
Compound: TaReHIr2
Source: Alexandria via LeMat-Bulk
Functional: PBE
Structure: relaxed

Computed properties:
- DOS(E_F): 2.739 states/eV/f.u.
- Size of the total moment: 0.000 Bohr magnetons per cell
- Crystal system: tetragonal

```
TaReHIr2
1.0
-3.724 -0.575 -1.198
0.524 -3.912 0.251
-1.250 0.079 3.850
Re Ir H Ta
1 2 1 1
direct
0.000 0.000 0.500
0.000 0.500 0.000
0.500 0.000 0.000
0.000 0.000 0.000
0.500 0.500 0.500
```

=====

Computed energies relative to the best structure, in eV/atom: A 0.044; B 0.000

=====

A:
Compound: ReHIrW2
Source: Alexandria via LeMat-Bulk
Functional: PBE
Structure: relaxed

Computed properties:
- DOS(E_F): 2.644 states/eV/f.u.
- Size of the total moment: 0.000 Bohr magnetons per cell
- Crystal system: tetragonal

```
ReHIrW2
1.0
-1.652 3.582 -0.732
-1.837 -1.508 -3.232
-3.109 -0.979 2.224
Re Ir W H
1 1 2 1
direct
0.000 0.000 0.500
0.500 0.500 0.500
0.000 0.500 0.000
0.500 0.000 0.000
0.000 0.000 0.000
```

=====

B:
Compound: ReHIrW2
Source: Alexandria via LeMat-Bulk
Functional: PBE
Structure: relaxed

Computed properties:
- DOS(E_F): 2.429 states/eV/f.u.
- Size of the total moment: 0.000 Bohr magnetons per cell
- Crystal system: tetragonal

```
ReHIrW2
1.0
4.035 0.000 0.000
0.000 4.035 0.000
0.000 0.000 3.907
Re Ir W H
1 1 2 1
direct
0.500 0.500 0.500
0.000 0.000 0.500
0.000 0.500 0.000
0.500 0.000 0.000
0.000 0.000 0.000
```

=====

Computed energies relative to the best structure, in eV/atom: A 0.000; B 0.025

=====

A:
Compound: Re2HIrW
Source: Alexandria via LeMat-Bulk
Functional: PBE
Structure: relaxed

Computed properties:
- DOS(E_F): 3.205 states/eV/f.u.
- Size of the total moment: 0.000 Bohr magnetons per cell
- Crystal system: tetragonal

```
Re2HIrW
1.0
-3.395 2.011 -0.487
-1.951 -3.423 -0.533
-0.685 -0.215 3.882
Re Ir W H
2 1 1 1
direct
0.000 0.500 0.000
0.500 0.000 0.000
0.000 0.000 0.500
0.500 0.500 0.500
0.000 0.000 0.000
```

=====

B:
Compound: Re2HIrW
Source: Alexandria via LeMat-Bulk
Functional: PBE
Structure: relaxed

Computed properties:
- DOS(E_F): 4.343 states/eV/f.u.
- Size of the total moment: 0.000 Bohr magnetons per cell
- Crystal system: tetragonal

```
Re2HIrW
1.0
3.950 0.000 0.000
0.000 3.950 0.000
0.000 0.000 3.995
Re Ir W H
2 1 1 1
direct
0.000 0.500 0.000
0.500 0.000 0.000
0.500 0.500 0.500
0.000 0.000 0.500
0.000 0.000 0.000
```

=====

Computed energies relative to the best structure, in eV/atom: A 0.005; B 0.000

=====

A:
Compound: HIr3Rh
Source: Alexandria via LeMat-Bulk
Functional: PBE
Structure: relaxed

Computed properties:
- DOS(E_F): 8.035 states/eV/f.u.
- Size of the total moment: 2.414 Bohr magnetons per cell
- Crystal system: cubic

```
HIr3Rh
1.0
4.736 0.000 0.000
0.000 4.736 0.000
0.000 0.000 4.736
H Ir Rh
1 3 1
direct
0.500 0.500 0.500
0.000 0.500 0.000
0.000 0.000 0.500
0.500 0.000 0.000
0.000 0.000 0.000
```

=====

B:
Compound: HIr3Rh
Source: Alexandria via LeMat-Bulk
Functional: PBE
Structure: relaxed

Computed properties:
- DOS(E_F): 5.550 states/eV/f.u.
- Size of the total moment: 0.000 Bohr magnetons per cell
- Crystal system: cubic

```
HIr3Rh
1.0
3.928 0.000 0.000
0.000 3.928 0.000
0.000 0.000 3.928
H Ir Rh
1 3 1
direct
0.000 0.000 0.000
0.000 0.500 0.000
0.000 0.000 0.500
0.500 0.000 0.000
0.500 0.500 0.500
```

=====

Computed energies relative to the best structure, in eV/atom: A 2.379; B 0.000

=====

A:
Compound: HIr2Rh
Source: Alexandria via LeMat-Bulk
Functional: PBE
Structure: relaxed

Computed properties:
- DOS(E_F): 2.354 states/eV/f.u.
- Size of the total moment: 0.000 Bohr magnetons per cell
- Crystal system: tetragonal

```
HIr2Rh
1.0
6.105 0.000 0.000
0.000 6.105 0.000
3.052 3.052 2.569
H Ir Rh
2 4 2
direct
0.500 0.500 0.000
0.250 0.750 0.500
0.527 0.125 0.250
0.223 0.625 0.250
0.375 0.473 0.750
0.875 0.777 0.750
0.000 0.000 0.000
0.750 0.250 0.500
```

=====

B:
Compound: HIr2Rh
Source: Alexandria via LeMat-Bulk
Functional: PBE
Structure: relaxed

Computed properties:
- DOS(E_F): 0.338 states/eV/f.u.
- Size of the total moment: 0.000 Bohr magnetons per cell
- Crystal system: cubic

```
HIr2Rh
1.0
0.000 2.946 2.946
2.946 0.000 2.946
2.946 2.946 0.000
H Ir Rh
1 2 1
direct
0.000 0.000 0.000
0.250 0.250 0.250
0.750 0.750 0.750
0.500 0.500 0.500
```

=====

Computed energies relative to the best structure, in eV/atom: A 0.000; B 0.410

=====

A:
Compound: HIr2Rh2
Source: Alexandria via LeMat-Bulk
Functional: PBE
Structure: relaxed

Computed properties:
- DOS(E_F): 4.193 states/eV/f.u.
- Size of the total moment: 0.000 Bohr magnetons per cell
- Crystal system: tetragonal

```
HIr2Rh2
1.0
-0.447 -0.588 -3.485
3.519 0.253 -0.494
2.113 -6.314 -1.027
H Ir Rh
1 2 2
direct
0.000 0.000 0.000
0.750 0.250 0.500
0.250 0.750 0.500
0.403 0.403 0.194
0.597 0.597 0.806
```

=====

B:
Compound: HIr2Rh2
Source: Alexandria via LeMat-Bulk
Functional: PBE
Structure: relaxed

Computed properties:
- DOS(E_F): 4.476 states/eV/f.u.
- Size of the total moment: 0.000 Bohr magnetons per cell
- Crystal system: tetragonal

```
HIr2Rh2
1.0
-1.025 6.011 -4.352
0.460 -4.333 -6.094
-2.697 -0.401 0.081
H Ir Rh
2 4 4
direct
0.000 0.000 0.000
0.500 0.500 0.000
0.123 0.623 0.500
0.623 0.877 0.500
0.877 0.377 0.500
0.377 0.123 0.500
0.325 0.825 0.000
0.825 0.675 0.000
0.675 0.175 0.000
0.175 0.325 0.000
```

=====

Computed energies relative to the best structure, in eV/atom: A 0.122; B 0.000

=====

A:
Compound: HIr2RuRh
Source: Alexandria via LeMat-Bulk
Functional: PBE
Structure: relaxed

Computed properties:
- DOS(E_F): 3.243 states/eV/f.u.
- Size of the total moment: 0.000 Bohr magnetons per cell
- Crystal system: tetragonal

```
HIr2RuRh
1.0
3.909 0.000 0.000
0.000 3.909 0.000
0.000 0.000 3.905
Ru Ir Rh H
1 2 1 1
direct
0.000 0.000 0.500
0.000 0.500 0.000
0.500 0.000 0.000
0.500 0.500 0.500
0.000 0.000 0.000
```

=====

B:
Compound: HIr2RuRh
Source: Alexandria via LeMat-Bulk
Functional: PBE
Structure: relaxed

Computed properties:
- DOS(E_F): 4.164 states/eV/f.u.
- Size of the total moment: 0.000 Bohr magnetons per cell
- Crystal system: tetragonal

```
HIr2RuRh
1.0
-0.311 3.179 2.258
-3.788 -0.783 0.580
0.922 -2.138 3.137
Ru Ir Rh H
1 2 1 1
direct
0.500 0.500 0.500
0.000 0.500 0.000
0.500 0.000 0.000
0.000 0.000 0.500
0.000 0.000 0.000
```

=====

Computed energies relative to the best structure, in eV/atom: A 0.000; B 0.022

=====

A:
Compound: Ta2HIrRh
Source: Alexandria via LeMat-Bulk
Functional: PBE
Structure: relaxed

Computed properties:
- DOS(E_F): 1.300 states/eV/f.u.
- Size of the total moment: 0.000 Bohr magnetons per cell
- Crystal system: tetragonal

```
Ta2HIrRh
1.0
-2.349 -2.687 -2.019
3.142 -2.629 -0.158
-1.141 -1.568 3.415
H Ir Rh Ta
1 1 1 2
direct
0.000 0.000 0.000
0.500 0.500 0.500
0.000 0.000 0.500
0.000 0.500 0.000
0.500 0.000 0.000
```

=====

B:
Compound: Ta2HIrRh
Source: Alexandria via LeMat-Bulk
Functional: PBE
Structure: relaxed

Computed properties:
- DOS(E_F): 1.856 states/eV/f.u.
- Size of the total moment: 0.000 Bohr magnetons per cell
- Crystal system: tetragonal

```
Ta2HIrRh
1.0
-1.732 3.714 -0.114
-3.699 -1.735 -0.343
-0.345 -0.041 3.924
H Ir Rh Ta
1 1 1 2
direct
0.000 0.000 0.000
0.000 0.000 0.500
0.500 0.500 0.500
0.000 0.500 0.000
0.500 0.000 0.000
```

=====

Computed energies relative to the best structure, in eV/atom: A 0.000; B 0.040

=====

A:
Compound: TaHIr2Rh
Source: Alexandria via LeMat-Bulk
Functional: PBE
Structure: relaxed

Computed properties:
- DOS(E_F): 2.866 states/eV/f.u.
- Size of the total moment: 0.000 Bohr magnetons per cell
- Crystal system: tetragonal

```
TaHIr2Rh
1.0
3.978 0.000 0.000
0.000 3.978 0.000
0.000 0.000 3.956
H Ir Rh Ta
1 2 1 1
direct
0.000 0.000 0.000
0.000 0.500 0.000
0.500 0.000 0.000
0.000 0.000 0.500
0.500 0.500 0.500
```

=====

B:
Compound: TaHIr2Rh
Source: Alexandria via LeMat-Bulk
Functional: PBE
Structure: relaxed

Computed properties:
- DOS(E_F): 2.522 states/eV/f.u.
- Size of the total moment: 0.000 Bohr magnetons per cell
- Crystal system: tetragonal

```
TaHIr2Rh
1.0
-2.000 0.181 3.377
-0.898 -3.811 -0.328
3.375 -0.972 2.051
H Ir Rh Ta
1 2 1 1
direct
0.000 0.000 0.000
0.000 0.500 0.000
0.500 0.000 0.000
0.500 0.500 0.500
0.000 0.000 0.500
```

=====

Computed energies relative to the best structure, in eV/atom: A 0.000; B 0.083

=====

A:
Compound: HIrRh2W
Source: Alexandria via LeMat-Bulk
Functional: PBE
Structure: relaxed

Computed properties:
- DOS(E_F): 4.617 states/eV/f.u.
- Size of the total moment: 0.000 Bohr magnetons per cell
- Crystal system: tetragonal

```
HIrRh2W
1.0
-1.244 -0.891 -3.564
0.232 -3.774 0.863
-3.825 0.066 1.319
H Ir Rh W
1 1 2 1
direct
0.000 0.000 0.000
0.500 0.500 0.500
0.000 0.500 0.000
0.500 0.000 0.000
0.000 0.000 0.500
```

=====

B:
Compound: HIrRh2W
Source: Alexandria via LeMat-Bulk
Functional: PBE
Structure: relaxed

Computed properties:
- DOS(E_F): 4.397 states/eV/f.u.
- Size of the total moment: 0.003 Bohr magnetons per cell
- Crystal system: tetragonal

```
HIrRh2W
1.0
3.921 0.000 0.000
0.000 3.921 0.000
0.000 0.000 3.960
H Ir Rh W
1 1 2 1
direct
0.000 0.000 0.000
0.000 0.000 0.500
0.000 0.500 0.000
0.500 0.000 0.000
0.500 0.500 0.500
```

=====

Computed energies relative to the best structure, in eV/atom: A 0.011; B 0.000

=====

A:
Compound: Y2HIrRh
Source: Alexandria via LeMat-Bulk
Functional: PBE
Structure: relaxed

Computed properties:
- DOS(E_F): 2.579 states/eV/f.u.
- Size of the total moment: 0.000 Bohr magnetons per cell
- Crystal system: tetragonal

```
Y2HIrRh
1.0
-3.866 2.470 1.796
1.013 -1.696 4.513
2.063 2.801 0.589
Y H Ir Rh
2 1 1 1
direct
0.000 0.500 0.000
0.500 0.000 0.000
0.000 0.000 0.000
0.000 0.000 0.500
0.500 0.500 0.500
```

=====

B:
Compound: Y2HIrRh
Source: Alexandria via LeMat-Bulk
Functional: PBE
Structure: relaxed

Computed properties:
- DOS(E_F): 1.916 states/eV/f.u.
- Size of the total moment: 0.000 Bohr magnetons per cell
- Crystal system: tetragonal

```
Y2HIrRh
1.0
-2.735 -3.988 -0.947
-0.944 -0.494 4.811
-2.829 2.022 -0.347
Y H Ir Rh
2 1 1 1
direct
0.000 0.500 0.000
0.500 0.000 0.000
0.000 0.000 0.000
0.500 0.500 0.500
0.000 0.000 0.500
```

=====

Computed energies relative to the best structure, in eV/atom: A 0.027; B 0.000

=====

A:
Compound: Zr2HIrRh
Source: Alexandria via LeMat-Bulk
Functional: PBE
Structure: relaxed

Computed properties:
- DOS(E_F): 3.979 states/eV/f.u.
- Size of the total moment: 0.000 Bohr magnetons per cell
- Crystal system: tetragonal

```
Zr2HIrRh
1.0
4.424 0.000 0.000
0.000 4.424 0.000
0.000 0.000 3.783
H Ir Rh Zr
1 1 1 2
direct
0.000 0.000 0.000
0.000 0.000 0.500
0.500 0.500 0.500
0.000 0.500 0.000
0.500 0.000 0.000
```

=====

B:
Compound: Zr2HIrRh
Source: Alexandria via LeMat-Bulk
Functional: PBE
Structure: relaxed

Computed properties:
- DOS(E_F): 4.011 states/eV/f.u.
- Size of the total moment: 0.000 Bohr magnetons per cell
- Crystal system: tetragonal

```
Zr2HIrRh
1.0
-3.658 -1.876 1.771
1.079 -3.903 -1.906
1.933 -0.933 3.005
H Ir Rh Zr
1 1 1 2
direct
0.000 0.000 0.000
0.500 0.500 0.500
0.000 0.000 0.500
0.000 0.500 0.000
0.500 0.000 0.000
```

=====

Computed energies relative to the best structure, in eV/atom: A 0.038; B 0.000